1.
Here is a relaxed structure of KAlCoOs2 from Alexandria via LeMat-Bulk. Energies are from PBE.

```
KAlCoOs2
1.0
4.489 0.000 0.000
0.000 4.489 0.000
0.000 0.000 4.682
K Al Co Os
1 1 1 2
direct
0.000 0.000 0.000
0.000 0.000 0.500
0.500 0.500 0.500
0.000 0.500 0.000
0.500 0.000 0.000
```

space-group type	No. 123
crystal system	tetragonal
energy relative to the elements	3504.2	meV/atom
total moment	0.006	μB per formula unit

2.
Here is a relaxed structure of La4AlCo from Alexandria via LeMat-Bulk. Energies are from PBE.

```
La4AlCo
1.0
0.000 4.489 4.489
4.489 0.000 4.489
4.489 4.489 0.000
La Al Co
4 1 1
direct
0.125 0.125 0.125
0.125 0.125 0.626
0.125 0.626 0.125
0.626 0.125 0.125
0.750 0.750 0.750
0.500 0.500 0.500
```

space-group type	No. 216
crystal system	cubic
energy relative to the elements	665.1	meV/atom
total moment	1.979	μB per formula unit
energy relative to the lowest polymorph listed for this composition	0.825	eV per atom

3.
Here is a relaxed structure of LaAl3Co2 from Alexandria via LeMat-Bulk. Energies are from PBE.

```
LaAl3Co2
1.0
5.047 -3.849 0.000
5.047 3.849 0.000
0.000 0.000 5.240
La Al Co
2 6 4
direct
0.149 0.851 0.750
0.851 0.149 0.250
0.024 0.579 0.250
0.421 0.976 0.250
0.443 0.557 0.250
0.557 0.443 0.750
0.579 0.024 0.750
0.976 0.421 0.750
0.300 0.300 0.000
0.300 0.300 0.500
0.700 0.700 0.000
0.700 0.700 0.500
```

space-group type	No. 63
crystal system	orthorhombic
energy relative to the elements	-504.3	meV/atom
total moment	0.000	μB per formula unit

4.
Here is a relaxed structure of La12AlCo5 from Alexandria via LeMat-Bulk. Energies are from PBE.

```
La12AlCo5
1.0
-4.860 5.011 5.149
4.860 -5.011 5.149
4.860 5.011 -5.149
La Al Co
12 1 5
direct
0.013 0.198 0.815
0.177 0.310 0.487
0.177 0.690 0.867
0.330 0.018 0.688
0.330 0.643 0.312
0.382 0.198 0.185
0.618 0.802 0.815
0.670 0.357 0.688
0.670 0.982 0.312
0.823 0.310 0.133
0.823 0.690 0.513
0.987 0.802 0.185
0.500 0.500 0.000
0.000 0.000 0.000
0.132 0.632 0.500
0.353 0.000 0.353
0.647 0.000 0.647
0.868 0.368 0.500
```

space-group type	No. 71
crystal system	orthorhombic
energy relative to the elements	-145.3	meV/atom
total moment	0.000	μB per formula unit